Arrangement w

! Tl3HgAs SCAN single point on PBEsol structure; values from VASP
! Crystal system: cubic
&SYSTEM
  ibrav = 0, nat = 5, ntyp = 3
/
ATOMIC_SPECIES
Tl 204.38 Tl.upf
Hg 200.59 Hg.upf
As 74.92 As.upf
CELL_PARAMETERS angstrom
5.4893 0.0000 0.0000
0.0000 5.4893 0.0000
0.0000 0.0000 5.4893
ATOMIC_POSITIONS angstrom
Tl 0.0000 0.0000 2.7447
Tl 0.0000 2.7447 0.0000
Tl 2.7447 0.0000 0.0000
Hg 0.0000 0.0000 0.0000
As 2.7447 2.7447 2.7447



Arrangement x

! Tl3HgAs SCAN single point on PBEsol structure; values from VASP
! Crystal system: cubic
&SYSTEM
  ibrav = 0, nat = 5, ntyp = 3
/
ATOMIC_SPECIES
Tl 204.38 Tl.upf
Hg 200.59 Hg.upf
As 74.92 As.upf
CELL_PARAMETERS angstrom
5.5301 0.0000 0.0000
0.0000 5.5301 0.0000
0.0000 0.0000 5.5301
ATOMIC_POSITIONS angstrom
Tl 0.0000 0.0000 2.7651
Tl 0.0000 2.7651 0.0000
Tl 2.7651 0.0000 0.0000
Hg 2.7651 2.7651 2.7651
As 0.0000 0.0000 0.0000



Most favorable structure: arrangement x. The second most favorable one is 251 meV per atom above it.



Arrangement w

! HgAsW2 SCAN single point on PBEsol structure; values from VASP
! Crystal system: tetragonal
&SYSTEM
  ibrav = 0, nat = 8, ntyp = 3
/
ATOMIC_SPECIES
Hg 200.59 Hg.upf
As 74.92 As.upf
W 183.84 W.upf
CELL_PARAMETERS angstrom
3.9930 0.0000 0.0000
0.0000 3.9930 0.0000
0.0000 0.0000 8.3109
ATOMIC_POSITIONS angstrom
Hg 0.0000 0.0000 0.0000
Hg 1.9965 1.9965 4.1554
As 0.0000 1.9965 6.2332
As 1.9965 0.0000 2.0777
W 0.0000 0.0000 4.1554
W 0.0000 1.9965 2.0777
W 1.9965 0.0000 6.2332
W 1.9965 1.9965 0.0000



Arrangement x

! HgAsW2 SCAN single point on PBEsol structure; values from VASP
! Crystal system: trigonal
&SYSTEM
  ibrav = 0, nat = 12, ntyp = 3
/
ATOMIC_SPECIES
Hg 200.59 Hg.upf
As 74.92 As.upf
W 183.84 W.upf
CELL_PARAMETERS angstrom
2.9639 0.0000 0.0000
-1.4820 2.5669 0.0000
0.0000 0.0000 26.0102
ATOMIC_POSITIONS angstrom
Hg 0.0000 0.0000 0.0000
Hg 0.0000 1.7112 17.3401
Hg 1.4820 0.8556 8.6700
As 0.0000 0.0000 13.0051
As 0.0000 1.7112 4.3350
As 1.4820 0.8556 21.6751
W 0.0000 0.0000 6.2943
W 0.0000 0.0000 19.7159
W 0.0000 1.7112 11.0458
W 0.0000 1.7112 23.6344
W 1.4820 0.8556 2.3758
W 1.4820 0.8556 14.9643



Most favorable structure: arrangement x. The second most favorable one is 313 meV per atom above it.



Arrangement w

! Y2HgAs SCAN single point on PBEsol structure; values from VASP
! Crystal system: trigonal
&SYSTEM
  ibrav = 0, nat = 12, ntyp = 3
/
ATOMIC_SPECIES
Y 88.91 Y.upf
Hg 200.59 Hg.upf
As 74.92 As.upf
CELL_PARAMETERS angstrom
3.9740 0.0000 0.0000
-1.9870 3.4415 0.0000
0.0000 0.0000 22.3154
ATOMIC_POSITIONS angstrom
Y 0.0000 0.0000 5.3553
Y 0.0000 0.0000 16.9601
Y 0.0000 2.2944 9.5216
Y 0.0000 2.2944 20.2323
Y 1.9870 1.1472 2.0831
Y 1.9870 1.1472 12.7938
Hg 0.0000 0.0000 0.0000
Hg 0.0000 2.2944 14.8769
Hg 1.9870 1.1472 7.4385
As 0.0000 0.0000 11.1577
As 0.0000 2.2944 3.7192
As 1.9870 1.1472 18.5961



Arrangement x

! Y2HgAs SCAN single point on PBEsol structure; values from VASP
! Crystal system: tetragonal
&SYSTEM
  ibrav = 0, nat = 4, ntyp = 3
/
ATOMIC_SPECIES
Y 88.91 Y.upf
Hg 200.59 Hg.upf
As 74.92 As.upf
CELL_PARAMETERS angstrom
4.9535 0.0000 0.0000
0.0000 4.9535 0.0000
0.0000 0.0000 3.7360
ATOMIC_POSITIONS angstrom
Y 0.0000 2.4767 0.0000
Y 2.4767 0.0000 0.0000
Hg 0.0000 0.0000 1.8680
As 2.4767 2.4767 1.8680



Arrangement y

! Y2HgAs SCAN single point on PBEsol structure; values from VASP
! Crystal system: trigonal
&SYSTEM
  ibrav = 0, nat = 12, ntyp = 3
/
ATOMIC_SPECIES
Y 88.91 Y.upf
Hg 200.59 Hg.upf
As 74.92 As.upf
CELL_PARAMETERS angstrom
4.0376 0.0000 0.0000
-2.0188 3.4967 0.0000
0.0000 0.0000 23.5142
ATOMIC_POSITIONS angstrom
Y 0.0000 0.0000 0.0000
Y 0.0000 0.0000 4.9452
Y 0.0000 2.3311 15.6761
Y 0.0000 2.3311 20.6213
Y 2.0188 1.1655 7.8380
Y 2.0188 1.1655 12.7833
Hg 0.0000 0.0000 10.8297
Hg 0.0000 2.3311 2.9917
Hg 2.0188 1.1655 18.6678
As 0.0000 0.0000 17.1915
As 0.0000 2.3311 9.3534
As 2.0188 1.1655 1.5154



Most favorable structure: arrangement w. The second most favorable one is 243 meV per atom above it.



Arrangement w

! ZnHg2As SCAN single point on PBEsol structure; values from VASP
! Crystal system: orthorhombic
&SYSTEM
  ibrav = 0, nat = 8, ntyp = 3
/
ATOMIC_SPECIES
Zn 65.41 Zn.upf
Hg 200.59 Hg.upf
As 74.92 As.upf
CELL_PARAMETERS angstrom
3.9001 0.0000 0.0000
0.0000 4.7800 0.0000
0.0000 0.0000 8.4810
ATOMIC_POSITIONS angstrom
Zn 0.0000 0.0000 0.0000
Zn 1.9500 2.3900 0.0000
Hg 0.0000 2.3900 1.9831
Hg 0.0000 2.3900 6.4978
Hg 1.9500 0.0000 1.9831
Hg 1.9500 0.0000 6.4978
As 0.0000 0.0000 4.2405
As 1.9500 2.3900 4.2405



Arrangement x

! ZnHg2As SCAN single point on PBEsol structure; values from VASP
! Crystal system: monoclinic
&SYSTEM
  ibrav = 0, nat = 8, ntyp = 3
/
ATOMIC_SPECIES
Zn 65.41 Zn.upf
Hg 200.59 Hg.upf
As 74.92 As.upf
CELL_PARAMETERS angstrom
7.2089 0.0000 0.0000
0.0000 4.1460 0.0000
-0.0451 0.0000 6.4770
ATOMIC_POSITIONS angstrom
Zn 0.0000 0.0000 0.0000
Zn 3.6045 2.0730 0.0000
Hg 1.5056 2.0730 1.9511
Hg 2.8069 0.0000 3.5689
Hg 5.1101 0.0000 1.9511
Hg 6.4114 2.0730 3.5689
As 2.3410 0.0000 6.1752
As 5.9454 2.0730 6.1752



Arrangement y

! ZnHg2As SCAN single point on PBEsol structure; values from VASP
! Crystal system: orthorhombic
&SYSTEM
  ibrav = 0, nat = 8, ntyp = 3
/
ATOMIC_SPECIES
Zn 65.41 Zn.upf
Hg 200.59 Hg.upf
As 74.92 As.upf
CELL_PARAMETERS angstrom
5.6591 0.0000 0.0000
0.0000 6.2623 0.0000
0.0000 0.0000 4.6777
ATOMIC_POSITIONS angstrom
Zn 0.0000 0.0000 0.0000
Zn 2.8296 3.1312 0.0000
Hg 0.0000 1.4983 2.3389
Hg 0.0000 4.7640 2.3389
Hg 2.8296 1.6329 2.3389
Hg 2.8296 4.6294 2.3389
As 0.0000 3.1312 0.0000
As 2.8296 0.0000 0.0000



Arrangement z

! ZnHg2As SCAN single point on PBEsol structure; values from VASP
! Crystal system: orthorhombic
&SYSTEM
  ibrav = 0, nat = 4, ntyp = 3
/
ATOMIC_SPECIES
Zn 65.41 Zn.upf
Hg 200.59 Hg.upf
As 74.92 As.upf
CELL_PARAMETERS angstrom
2.9320 0.0000 0.0000
0.0000 3.7497 0.0000
0.0000 0.0000 8.3637
ATOMIC_POSITIONS angstrom
Zn 0.0000 0.0000 0.0000
Hg 0.0000 0.0000 2.6005
Hg 1.4660 1.8749 4.6154
As 1.4660 1.8749 7.3377



Most favorable structure: arrangement x. The second most favorable one is 89 meV per atom above it.



Arrangement w

! NbAsPd2I SCAN single point on PBEsol structure; values from VASP
! Crystal system: tetragonal
&SYSTEM
  ibrav = 0, nat = 5, ntyp = 4
/
ATOMIC_SPECIES
Nb 92.91 Nb.upf
As 74.92 As.upf
Pd 106.42 Pd.upf
I 126.90 I.upf
CELL_PARAMETERS angstrom
4.7700 0.0000 0.0000
0.0000 4.7700 0.0000
0.0000 0.0000 5.4232
ATOMIC_POSITIONS angstrom
Nb 0.0000 0.0000 0.0000
As 2.3850 2.3850 0.0000
Pd 0.0000 2.3850 2.7116
Pd 2.3850 0.0000 2.7116
I 2.3850 2.3850 2.7116



Arrangement x

! NbAsPd2I SCAN single point on PBEsol structure; values from VASP
! Crystal system: tetragonal
&SYSTEM
  ibrav = 0, nat = 5, ntyp = 4
/
ATOMIC_SPECIES
Nb 92.91 Nb.upf
As 74.92 As.upf
Pd 106.42 Pd.upf
I 126.90 I.upf
CELL_PARAMETERS angstrom
4.5618 0.0000 0.0000
0.0000 4.5618 0.0000
0.0000 0.0000 5.5414
ATOMIC_POSITIONS angstrom
Nb 0.0000 0.0000 0.0000
As 2.2809 2.2809 2.7707
Pd 0.0000 2.2809 2.7707
Pd 2.2809 0.0000 2.7707
I 2.2809 2.2809 0.0000



Most favorable structure: arrangement x. The second most favorable one is 510 meV per atom above it.